A geometry-optimized GaSiTe structure, computed with PBE.

Geometry as extended XYZ:
```
6
Lattice="6.3430 0.0000 0.0000 0.0000 4.0260 0.0000 -0.9541 0.0000 6.7988" Properties=species:S:1:pos:R:3 pbc="T T T"
Ga 0.0000 0.0000 0.0000
Ga 2.0993 0.0000 1.3503
Si 4.5467 0.0000 1.7362
Si 5.1578 2.0130 2.8907
Te 1.3782 2.0130 3.0963
Te 4.3178 2.0130 5.3517
```

Summary:
* total energy: -3.935 eV per atom
* formation energy (no corrections): -0.07 eV per atom